Compound: PaCr2O6
Source: the Alexandria database
Functional: PBE with a Hubbard U
Structure: optimized geometry

Density of states at the Fermi level (states/eV/cell): 4.87
M_tot (μB per atom): 0.556
Symmetry: P-31m
Electronic total energy (eV per atom): -8.473

abc: 5.079 5.079 4.783
angles: 90.00 90.00 120.00
Sites, in units of the cell vectors:
Pa: 0.000 0.000 0.000
Cr: 0.333 0.667 0.500
Cr: 0.667 0.333 0.500
O: 0.000 0.350 0.728
O: 0.000 0.650 0.272
O: 0.350 0.000 0.728
O: 0.350 0.350 0.272
O: 0.650 0.000 0.272
O: 0.650 0.650 0.728